Density functional theory data (PBE-GGA) for a relaxed structure of BaMnH5.

The structure in POSCAR format:
```
BaMnH5
1.0
5.0185 -3.4552 0.0000
5.0185 3.4552 0.0000
-4.7666 0.0000 5.0120
Ba Mn H
2 2 10
Direct
0.2259 0.7741 0.7500 Ba
0.7741 0.2259 0.2500 Ba
0.0000 0.5000 0.0000 Mn
0.5000 0.0000 0.5000 Mn
0.0011 0.4991 0.7631 H
0.2229 0.7771 0.2500 H
0.2569 0.2836 0.0214 H
0.2836 0.2569 0.5214 H
0.4991 0.0011 0.2631 H
0.5009 0.9989 0.7369 H
0.7164 0.7431 0.4786 H
0.7431 0.7164 0.9786 H
0.7771 0.2229 0.7500 H
0.9989 0.5009 0.2369 H
```

Properties
- theoretical density (g cm⁻³) = 3.77
- symmetry = C2/c, No. 15
- total energy (eV per formula unit) = -28.69
- size of the total moment (μB/f.u.) = 2.75
- N(E_F) (states/eV/cell) = 4.66

=====

Density functional theory data (PBE-GGA) for a relaxed structure of LiTlF2.

The structure in POSCAR format:
```
LiTlF2
1.0
7.0610 -1.6794 0.0000
7.0610 1.6794 0.0000
-2.4698 0.0000 5.3737
Li Tl F
2 2 4
Direct
0.0985 0.0985 0.0982 Li
0.9015 0.9015 0.9018 Li
0.3631 0.3631 0.3630 Tl
0.6369 0.6369 0.6370 Tl
0.0000 0.0000 0.2429 F
0.0000 0.0000 0.7571 F
0.3257 0.3257 0.8262 F
0.6743 0.6743 0.1738 F
```

Properties
- theoretical density (g cm⁻³) = 6.50
- symmetry = C2/m, No. 12
- total energy (eV per formula unit) = -17.17
- size of the total moment (μB/f.u.) = 0.00
- polymorph energy (0 for the lowest one) (meV/atom) = 21.5
- formation energy (no corrections) (eV/atom) = -2.286
- N(E_F) (states/eV/cell) = 0.00

=====

Density functional theory data (PBE-GGA) for a relaxed structure of ZrCo2Ni.

The structure in POSCAR format:
```
ZrCo2Ni
1.0
1.3538 0.7816 8.7411
-1.3538 0.7816 8.7411
0.0000 -1.5633 8.7411
Zr Co Ni
1 2 1
Direct
0.0000 0.0000 0.0000 Zr
0.2404 0.2404 0.2404 Co
0.7596 0.7596 0.7596 Co
0.5000 0.5000 0.5000 Ni
```

Properties
- theoretical density (g cm⁻³) = 8.01
- symmetry = R-3m, No. 166
- total energy (eV per formula unit) = -27.19
- size of the total moment (μB/f.u.) = 3.72
- N(E_F) (states/eV/cell) = 5.81
- formation enthalpy at 0 K (eV per atom) = 0.337

=====

Density functional theory data (PBE-GGA) for a relaxed structure of LiTeOs.

The structure in POSCAR format:
```
LiTeOs
1.0
-1.6078 1.6078 5.7809
1.6078 -1.6078 5.7809
1.6078 1.6078 -5.7809
Li Te Os
1 1 1
Direct
0.0000 0.0000 0.0000 Li
0.2684 0.2684 0.0000 Te
0.6491 0.6491 0.0000 Os
```

Properties
- theoretical density (g cm⁻³) = 9.02
- symmetry = I4mm, No. 107
- total energy (eV per formula unit) = -15.40
- size of the total moment (μB/f.u.) = 0.00
- polymorph energy (0 for the lowest one) (meV/atom) = 82.7
- formation energy (no corrections) (eV/atom) = 0.294
- N(E_F) (states/eV/cell) = 1.25

=====

Density functional theory data (PBE-GGA) for a relaxed structure of RuAuSe2.

The structure in POSCAR format:
```
RuAuSe2
1.0
2.8740 -3.6678 0.0000
2.8740 3.6678 0.0000
-2.8532 0.0000 3.6557
Ru Au Se
1 1 2
Direct
0.0000 0.0000 0.0000 Ru
0.5000 0.5000 0.0000 Au
0.0000 0.5000 0.5000 Se
0.5000 0.0000 0.5000 Se
```

Properties
- theoretical density (g cm⁻³) = 9.82
- symmetry = C2/m, No. 12
- total energy (eV per formula unit) = -17.79
- size of the total moment (μB/f.u.) = 0.00
- formation energy (no corrections) (eV/atom) = 0.433
- N(E_F) (states/eV/cell) = 3.83

=====

Density functional theory data (PBE-GGA) for a relaxed structure of TlIr2Pt.

The structure in POSCAR format:
```
TlIr2Pt
1.0
-2.0454 2.0454 3.9647
2.0454 -2.0454 3.9647
2.0454 2.0454 -3.9647
Tl Ir Pt
1 2 1
Direct
0.0000 0.0000 0.0000 Tl
0.2500 0.7500 0.5000 Ir
0.5000 0.5000 0.0000 Ir
0.7500 0.2500 0.5000 Pt
```

Properties
- theoretical density (g cm⁻³) = 19.62
- symmetry = I-4m2, No. 119
- total energy (eV per formula unit) = -24.54
- size of the total moment (μB/f.u.) = 0.00
- polymorph energy (0 for the lowest one) (meV/atom) = 77.4
- N(E_F) (states/eV/cell) = 5.07
- formation enthalpy at 0 K (eV per atom) = 0.398